i) DFT (PBE) results for a relaxed structure of Ga2SbPb2.

Cell: 3.861 3.861 18.099 Å, 90.00 90.00 90.00°
Space group I4/mmm (No. 139)
Asymmetric unit:
Ga 0.000 0.500 0.250 (multiplicity 4)
Sb 0.000 0.000 0.000 (multiplicity 2)
Pb 0.000 0.000 0.395 (multiplicity 4)

***

ii) DFT (PBE) results for a relaxed structure of Ga2SbPb2.

Cell: 8.991 8.991 3.368 Å, 90.00 90.00 90.00°
Space group P4/mbm (No. 127)
Asymmetric unit:
Ga 0.108 0.392 0.000 (multiplicity 4)
Sb 0.000 0.000 0.500 (multiplicity 2)
Pb 0.190 0.690 0.500 (multiplicity 4)

***

iii) DFT (PBE) results for a relaxed structure of Ga2SbPb2.

Cell: 7.615 7.615 4.586 Å, 90.00 90.00 90.00°
Space group P4/mbm (No. 127)
Asymmetric unit:
Ga 0.126 0.374 0.000 (multiplicity 4)
Sb 0.000 0.000 0.000 (multiplicity 2)
Pb 0.179 0.679 0.500 (multiplicity 4)

***

Short version: iii), i), ii), most stable first.

***

i) DFT (PBE) results for a relaxed structure of GaSb3Pb.

Cell: 5.364 5.364 5.364 Å, 90.00 90.00 90.00°
Space group Pm-3m (No. 221)
Asymmetric unit:
Ga 0.000 0.000 0.000 (multiplicity 1)
Sb 0.000 0.000 0.500 (multiplicity 3)
Pb 0.500 0.500 0.500 (multiplicity 1)

***

ii) DFT (PBE) results for a relaxed structure of GaSb3Pb.

Cell: 5.816 5.816 5.816 Å, 90.00 90.00 90.00°
Space group Pm-3m (No. 221)
Asymmetric unit:
Ga 0.000 0.000 0.000 (multiplicity 1)
Sb 0.000 0.500 0.500 (multiplicity 3)
Pb 0.500 0.500 0.500 (multiplicity 1)

***

Short version: i), ii), most stable first.

***

i) DFT (PBE) results for a relaxed structure of GaSbTe2Pb.

Cell: 5.941 5.941 5.818 Å, 90.00 90.00 90.00°
Space group P4/mmm (No. 123)
Asymmetric unit:
Ga 0.000 0.000 0.000 (multiplicity 1)
Sb 0.500 0.500 0.000 (multiplicity 1)
Te 0.000 0.500 0.500 (multiplicity 2)
Pb 0.500 0.500 0.500 (multiplicity 1)

***

ii) DFT (PBE) results for a relaxed structure of GaSbTe2Pb.

Cell: 5.466 5.466 5.307 Å, 90.00 90.00 90.00°
Space group P4/mmm (No. 123)
Asymmetric unit:
Ga 0.000 0.000 0.000 (multiplicity 1)
Sb 0.000 0.000 0.500 (multiplicity 1)
Te 0.000 0.500 0.000 (multiplicity 2)
Pb 0.500 0.500 0.500 (multiplicity 1)

***

Short version: ii), i), most stable first.

***

i) DFT (PBE) results for a relaxed structure of Sc2Ga2Pb.

Cell: 8.098 8.098 3.366 Å, 90.00 90.00 90.00°
Space group P4/mbm (No. 127)
Asymmetric unit:
Sc 0.133 0.367 0.000 (multiplicity 4)
Ga 0.172 0.672 0.500 (multiplicity 4)
Pb 0.000 0.000 0.000 (multiplicity 2)

***

ii) DFT (PBE) results for a relaxed structure of Sc2Ga2Pb.

Cell: 7.854 7.854 3.460 Å, 90.00 90.00 90.00°
Space group P4/mbm (No. 127)
Asymmetric unit:
Sc 0.180 0.320 0.000 (multiplicity 4)
Ga 0.116 0.616 0.500 (multiplicity 4)
Pb 0.000 0.000 0.500 (multiplicity 2)

***

Short version: ii), i), most stable first.

***

i) DFT (PBE) results for a relaxed structure of GaPb2Se2.

Cell: 8.216 8.216 4.101 Å, 90.00 90.00 90.00°
Space group P4/mbm (No. 127)
Asymmetric unit:
Ga 0.000 0.000 0.000 (multiplicity 2)
Pb 0.155 0.345 0.500 (multiplicity 4)
Se 0.157 0.657 0.000 (multiplicity 4)

***

ii) DFT (PBE) results for a relaxed structure of GaPb2Se2.

Cell: 5.745 5.745 9.697 Å, 90.00 90.00 90.00°
Space group I4/mmm (No. 139)
Asymmetric unit:
Ga 0.000 0.000 0.000 (multiplicity 2)
Pb 0.000 0.000 0.335 (multiplicity 4)
Se 0.000 0.500 0.250 (multiplicity 4)

***

iii) DFT (PBE) results for a relaxed structure of GaPb2Se2.

Cell: 8.250 8.250 4.091 Å, 90.00 90.00 90.00°
Space group P4/mbm (No. 127)
Asymmetric unit:
Ga 0.000 0.000 0.000 (multiplicity 2)
Pb 0.148 0.352 0.000 (multiplicity 4)
Se 0.167 0.667 0.500 (multiplicity 4)

***

Short version: i), iii), ii), most stable first.

***

i) DFT (PBE) results for a relaxed structure of GaPbSe.

Cell: 3.7702 3.7702 6.2809 Å, 90.00 90.00 120.00°
Space group P3m1 (No. 156)
Asymmetric unit:
Ga 0.0000 0.0000 0.0000 (multiplicity 1)
Pb 0.6667 0.3333 0.3840 (multiplicity 1)
Se 0.3333 0.6667 0.7714 (multiplicity 1)

***

ii) DFT (PBE) results for a relaxed structure of GaPbSe.

Cell: 5.187 5.036 6.789 Å, 90.00 91.85 90.00°
Space group P2_1/m (No. 11)
Asymmetric unit:
Ga 0.000 0.000 0.000 (multiplicity 2)
Pb 0.470 0.250 0.748 (multiplicity 2)
Se 0.249 0.250 0.347 (multiplicity 2)

***

Short version: i), ii), most stable first.

***

i) DFT (PBE) results for a relaxed structure of Ga2PbSe4.

Cell: 6.345 10.947 11.004 Å, 90.00 90.00 90.00°
Space group Cccm (No. 66)
Asymmetric unit:
Ga 0.002 0.238 0.000 (multiplicity 8)
Pb 0.000 0.500 0.250 (multiplicity 4)
Se 0.231 0.420 0.500 (multiplicity 8)
Se 0.250 0.250 0.171 (multiplicity 8)

***

ii) DFT (PBE) results for a relaxed structure of Ga2PbSe4.

Cell: 12.895 21.623 21.953 Å, 90.00 90.00 90.00°
Space group Fddd (No. 70, origin choice 2)
Asymmetric unit:
Ga 0.084 0.304 0.250 (multiplicity 32)
Ga 0.123 0.262 0.750 (multiplicity 32)
Pb 0.125 0.125 0.125 (multiplicity 8)
Pb 0.125 0.125 0.373 (multiplicity 16)
Pb 0.125 0.125 0.625 (multiplicity 8)
Se 0.001 0.000 0.585 (multiplicity 32)
Se 0.001 0.000 0.915 (multiplicity 32)
Se 0.001 0.094 0.249 (multiplicity 32)
Se 0.016 0.081 0.751 (multiplicity 32)

***

Short version: ii), i), most stable first.

***

i) DFT (PBE) results for a relaxed structure of Ga2SiPb.

Cell: 6.176 6.176 11.455 Å, 90.00 90.00 90.00°
Space group I-42d (No. 122)
Asymmetric unit:
Ga 0.193 0.250 0.125 (multiplicity 8)
Si 0.000 0.000 0.000 (multiplicity 4)
Pb 0.000 0.000 0.500 (multiplicity 4)

***

ii) DFT (PBE) results for a relaxed structure of Ga2SiPb.

Cell: 7.027 7.027 7.027 Å, 90.00 90.00 90.00°
Space group Fm-3m (No. 225)
Asymmetric unit:
Ga 0.250 0.250 0.250 (multiplicity 8)
Si 0.000 0.000 0.000 (multiplicity 4)
Pb 0.000 0.000 0.500 (multiplicity 4)

***

Short version: i), ii), most stable first.

***

i) DFT (PBE) results for a relaxed structure of GaSi2Pb.

Cell: 6.931 6.931 6.931 Å, 90.00 90.00 90.00°
Space group Fm-3m (No. 225)
Asymmetric unit:
Ga 0.000 0.000 0.000 (multiplicity 4)
Si 0.250 0.250 0.250 (multiplicity 8)
Pb 0.000 0.000 0.500 (multiplicity 4)

***

ii) DFT (PBE) results for a relaxed structure of GaSi2Pb.

Cell: 5.831 5.831 12.313 Å, 90.00 90.00 90.00°
Space group I-42d (No. 122)
Asymmetric unit:
Ga 0.000 0.000 0.000 (multiplicity 4)
Si 0.210 0.250 0.125 (multiplicity 8)
Pb 0.000 0.000 0.500 (multiplicity 4)

***

Short version: ii), i), most stable first.

***

i) DFT (PBE) results for a relaxed structure of SmGaPb2.

Cell: 4.690 4.690 4.859 Å, 90.00 90.00 90.00°
Space group P4/mmm (No. 123)
Asymmetric unit:
Sm 0.000 0.000 0.000 (multiplicity 1)
Ga 0.500 0.500 0.000 (multiplicity 1)
Pb 0.000 0.500 0.500 (multiplicity 2)

***

ii) DFT (PBE) results for a relaxed structure of SmGaPb2.

Cell: 3.5670 3.5670 32.9237 Å, 90.00 90.00 120.00°
Space group R-3m (No. 166, hexagonal axes)
Asymmetric unit:
Sm 0.0000 0.0000 0.0000 (multiplicity 3)
Ga 0.0000 0.0000 0.5000 (multiplicity 3)
Pb 0.0000 0.0000 0.0970 (multiplicity 6)

***

Short version: i), ii), most stable first.